(1)
RbCaMnS2, relaxed, DFT GGA-PBE; formation energy from raw total energies = -0.346 eV per atom; M_tot = 3.3 μB per formula unit
1.0
-3.700 -1.782 -2.819
0.057 -4.192 2.576
-3.335 1.905 3.173
Ca Mn S Rb
1 1 2 1
direct
0.000 0.500 0.000
0.000 0.000 0.000
0.000 0.000 0.500
0.500 0.000 0.000
0.500 0.500 0.500


(2)
TbErCoRh, relaxed, DFT GGA-PBE; ΔE_f = -0.51 eV per atom; M_tot = 0.5 μB per formula unit
1.0
4.780 0.000 0.000
2.390 4.139 0.000
2.390 1.380 3.902
Rh Co Tb Er
1 1 1 1
direct
0.000 0.000 0.000
0.500 0.500 0.500
0.250 0.250 0.250
0.750 0.750 0.750


(3)
LiBiB, relaxed, DFT GGA-PBE; ΔE_f = 0.15 eV per atom; M_tot = 0.0 μB per formula unit
1.0
3.721 0.014 -0.049
-0.011 4.923 0.002
-1.698 -2.472 6.203
Li Bi B
2 2 2
direct
0.101 0.606 0.212
0.899 0.394 0.788
0.633 0.142 0.285
0.367 0.858 0.715
0.500 0.661 0.000
0.500 0.339 0.000


(4)
KTa2Co, relaxed, DFT GGA-PBE; ΔE_f = 0.86 eV per atom; M_tot = 0.0 μB per formula unit
1.0
5.731 0.026 0.001
5.010 2.784 0.001
1.672 0.437 5.250
Co K Ta
1 1 2
direct
0.250 0.250 0.250
0.750 0.750 0.750
0.947 0.947 0.088
0.553 0.553 0.412


Copy entry 1 word for word.
RbCaMnS2, relaxed, DFT GGA-PBE; formation energy from raw total energies = -0.346 eV per atom; M_tot = 3.3 μB per formula unit
1.0
-3.700 -1.782 -2.819
0.057 -4.192 2.576
-3.335 1.905 3.173
Ca Mn S Rb
1 1 2 1
direct
0.000 0.500 0.000
0.000 0.000 0.000
0.000 0.000 0.500
0.500 0.000 0.000
0.500 0.500 0.500


Q: Number 4 is which compound?
A: KTa2Co